Density functional theory data (GGA-PBE) for a relaxed structure of PrThTePt.

Lattice parameters (Å, degrees): 4.2372 4.2385 8.1874 90.00 105.02 120.00
Closest atoms and distances in Å follow each position.
Fractional positions:
Pr 0.4926 0.1443 0.6518  3 Pt 3.03, 3 Te 3.34
Th 0.1084 0.9521 0.0760  3 Pt 2.88
Te 0.9655 0.3808 0.3613  3 Th 3.31, 3 Pr 3.34
Pt 0.3115 0.5536 0.8806  3 Th 2.88, 3 Pr 3.03

Output
D(E_F) in states/eV/cell: 4.055
Calculated total energy in eV/atom: -6.54
Symmetry: No. 160
Magnetic moment in μB/atom: 0.0000
ΔE_f (raw) in eV/atom: -1.197